First-principles (GGA-PBE) data for a relaxed structure of Nd3Ge13Ru4, as listed in the Alexandria database.

a b c (Å): 9.144 9.144 9.144
angles (deg): 90.00 90.00 90.00
Fractional positions:
Nd1 0.000 0.250 0.500
Nd2 0.000 0.750 0.500
Nd3 0.250 0.500 0.000
Nd4 0.500 0.000 0.250
Nd5 0.500 0.000 0.750
Nd6 0.750 0.500 0.000
Ge1 0.000 0.000 0.000
Ge2 0.000 0.296 0.147
Ge3 0.000 0.296 0.853
Ge4 0.000 0.704 0.147
Ge5 0.000 0.704 0.853
Ge6 0.147 0.000 0.296
Ge7 0.147 0.000 0.704
Ge8 0.204 0.500 0.353
Ge9 0.204 0.500 0.647
Ge10 0.296 0.147 0.000
Ge11 0.296 0.853 0.000
Ge12 0.353 0.204 0.500
Ge13 0.353 0.796 0.500
Ge14 0.500 0.353 0.204
Ge15 0.500 0.353 0.796
Ge16 0.500 0.500 0.500
Ge17 0.500 0.647 0.204
Ge18 0.500 0.647 0.796
Ge19 0.647 0.204 0.500
Ge20 0.647 0.796 0.500
Ge21 0.704 0.147 0.000
Ge22 0.704 0.853 0.000
Ge23 0.796 0.500 0.353
Ge24 0.796 0.500 0.647
Ge25 0.853 0.000 0.296
Ge26 0.853 0.000 0.704
Ru1 0.250 0.250 0.250
Ru2 0.250 0.250 0.750
Ru3 0.250 0.750 0.250
Ru4 0.250 0.750 0.750
Ru5 0.750 0.250 0.250
Ru6 0.750 0.250 0.750
Ru7 0.750 0.750 0.250
Ru8 0.750 0.750 0.750


First-principles (GGA-PBE) data for a relaxed structure of NdGe2Ru, as listed in the Alexandria database.

a b c (Å): 5.679 5.679 5.679
angles (deg): 43.71 43.71 43.71
Fractional positions:
Nd1 0.000 0.000 0.000
Ge1 0.217 0.217 0.217
Ge2 0.783 0.783 0.783
Ru1 0.500 0.500 0.500


First-principles (GGA-PBE) data for a relaxed structure of NdGe3Ru2, as listed in the Alexandria database.

a b c (Å): 6.204 6.204 5.779
angles (deg): 90.00 90.00 77.47
Fractional positions:
Nd1 0.153 0.847 0.750
Nd2 0.847 0.153 0.250
Ge1 0.041 0.618 0.250
Ge2 0.382 0.959 0.250
Ge3 0.465 0.535 0.250
Ge4 0.535 0.465 0.750
Ge5 0.618 0.041 0.750
Ge6 0.959 0.382 0.750
Ru1 0.292 0.292 0.000
Ru2 0.292 0.292 0.500
Ru3 0.708 0.708 0.000
Ru4 0.708 0.708 0.500


First-principles (GGA-PBE) data for a relaxed structure of NdGe4Ru2, as listed in the Alexandria database.

a b c (Å): 6.863 6.863 6.863
angles (deg): 110.82 110.82 106.81
Fractional positions:
Nd1 0.000 0.000 0.000
Nd2 0.750 0.250 0.500
Ge1 0.005 0.734 0.555
Ge2 0.178 0.450 0.445
Ge3 0.200 0.428 0.945
Ge4 0.266 0.822 0.271
Ge5 0.484 0.255 0.055
Ge6 0.550 0.995 0.729
Ge7 0.572 0.516 0.771
Ge8 0.745 0.800 0.229
Ru1 0.203 0.125 0.578
Ru2 0.375 0.797 0.922
Ru3 0.547 0.625 0.422
Ru4 0.875 0.453 0.078


First-principles (GGA-PBE) data for a relaxed structure of Nd2Ge3Ru, as listed in the Alexandria database.

a b c (Å): 8.566 8.498 6.002
angles (deg): 70.02 68.79 41.19
Fractional positions:
Nd1 0.243 0.757 0.757
Nd2 0.250 0.250 0.250
Nd3 0.750 0.750 0.750
Nd4 0.757 0.243 0.243
Ge1 0.161 0.669 0.331
Ge2 0.330 0.330 0.670
Ge3 0.331 0.839 0.161
Ge4 0.669 0.161 0.839
Ge5 0.670 0.670 0.330
Ge6 0.839 0.331 0.669
Ru1 0.166 0.166 0.834
Ru2 0.834 0.834 0.166


First-principles (GGA-PBE) data for a relaxed structure of Nd4GeRu, as listed in the Alexandria database.

a b c (Å): 8.221 8.221 6.413
angles (deg): 106.40 106.40 113.08
Fractional positions:
Nd1 0.061 0.698 0.912
Nd2 0.225 0.351 0.697
Nd3 0.302 0.939 0.588
Nd4 0.351 0.225 0.197
Nd5 0.649 0.775 0.803
Nd6 0.698 0.061 0.412
Nd7 0.775 0.649 0.303
Nd8 0.939 0.302 0.088
Ge1 0.370 0.630 0.250
Ge2 0.630 0.370 0.750
Ru1 0.000 0.000 0.250
Ru2 0.000 0.000 0.750


no.,calculated formation energy (eV/atom)
1,-0.441
2,-0.607
3,-0.443
4,-0.292
5,-0.645
6,-0.395